1.
Computed, not measured: a relaxed NaCaBr2 crystal at the PBE-GGA level of DFT.

## Properties
Electronic total energy (eV/atom): -3.005
Symmetry: R-3m, No. 166
D(E_F) (states/eV/cell): 3.08
Energy relative to the lowest polymorph listed for this composition (meV per atom): 105
Formation energy (no corrections) (eV/f.u.): -5.35

Geometry as POSCAR:
```
NaCaBr2
1.0
4.3668 0.0000 0.0000
-2.1834 3.7818 0.0000
0.0000 0.0000 26.3939
Na Ca Br
3 3 6
Cartesian
0.0000 0.0000 0.0000
0.0000 2.5212 17.5959
2.1834 1.2606 8.7979
0.0000 0.0000 13.1969
0.0000 2.5212 4.3990
2.1834 1.2606 21.9949
0.0000 0.0000 10.4302
0.0000 0.0000 15.9636
0.0000 2.5212 1.6323
0.0000 2.5212 7.1657
2.1834 1.2606 19.2282
2.1834 1.2606 24.7616
```

=====

2.
Computed, not measured: a relaxed LaYGaIr crystal at the PBE-GGA level of DFT.

## Properties
ΔH_f (0 K) (eV/atom): -0.5722
Electronic total energy (eV/atom): -6.392
Symmetry: F-43m, No. 216
D(E_F) (states/eV/cell): 15.09
Energy relative to the lowest polymorph listed for this composition (meV per atom): 108

Geometry as POSCAR:
```
LaYGaIr
1.0
7.2048 0.0000 0.0000
0.0000 7.2048 0.0000
0.0000 0.0000 7.2048
La Y Ga Ir
4 4 4 4
Cartesian
0.0000 0.0000 0.0000
0.0000 3.6024 3.6024
3.6024 0.0000 3.6024
3.6024 3.6024 0.0000
0.0000 0.0000 3.6024
0.0000 3.6024 0.0000
3.6024 0.0000 0.0000
3.6024 3.6024 3.6024
1.8012 1.8012 1.8012
1.8012 5.4036 5.4036
5.4036 1.8012 5.4036
5.4036 5.4036 1.8012
1.8012 1.8012 5.4036
1.8012 5.4036 1.8012
5.4036 1.8012 1.8012
5.4036 5.4036 5.4036
```

=====

3.
Computed, not measured: a relaxed Ca2As3Pd4 crystal at the PBE-GGA level of DFT.

## Properties
ΔH_f (0 K) (eV/atom): -0.7214
Electronic total energy (eV/atom): -5.024
Symmetry: Cmce, No. 64
D(E_F) (states/eV/cell): 6.72

Geometry as POSCAR:
```
Ca2As3Pd4
1.0
3.0045 -7.6493 0.0000
3.0045 7.6493 0.0000
0.0000 0.0000 7.3316
Ca As Pd
4 6 8
Cartesian
3.0045 6.0298 6.6325
3.0045 1.6194 2.9667
3.0045 -1.6194 4.3649
3.0045 -6.0298 0.6991
0.0000 0.0000 3.6658
1.5022 3.6860 5.4987
1.5022 -3.6860 1.8329
3.0045 0.0000 0.0000
4.5067 3.6860 5.4987
4.5067 -3.6860 1.8329
3.0045 4.9717 3.7175
1.5022 1.0248 5.4987
1.5022 -1.0248 1.8329
3.0045 2.6776 0.0517
3.0045 -2.6776 7.2799
4.5067 1.0248 5.4987
4.5067 -1.0248 1.8329
3.0045 -4.9717 3.6141
```